A plane-wave DFT calculation with PBE-GGA was carried out for crystalline KSrF2 at its relaxed geometry.

Cell: 7.7454 7.7454 7.7454 Å, 30.61 30.61 30.61°
With the nearest neighbours (Å) after each atom.
Sites, in units of the cell vectors:
1 K 0.0000 0.0000 0.0000  2 F 2.78
2 Sr 0.5000 0.5000 0.5000  6 F 2.53
3 F 0.1256 0.1256 0.1256  3 Sr 2.53, 1 K 2.78
4 F 0.8744 0.8744 0.8744  3 Sr 2.53, 1 K 2.78

Computed properties:
Total magnetization (μB per formula unit): 0.000
E (eV/atom): -4.4347
Raw formation energy (meV/atom): -2804
Symmetry: R-3m (166)
E above lowest polymorph (meV/atom): 0

***

A plane-wave DFT calculation with PBE-GGA was carried out for crystalline Ba2TeSe4 at its relaxed geometry.

Cell: 7.5044 7.0195 9.3777 Å, 90.00 108.52 90.00°
With the nearest neighbours (Å) after each atom.
Sites, in units of the cell vectors:
1 Ba 0.0987 0.2500 0.4127  8 Se 3.28-3.60, 1 Te 3.58
2 Ba 0.2767 0.7500 0.0631  8 Se 3.30-3.58
3 Ba 0.7233 0.2500 0.9369  8 Se 3.30-3.58
4 Ba 0.9013 0.7500 0.5873  8 Se 3.28-3.60, 1 Te 3.58
5 Te 0.4612 0.7500 0.6609  3 Se 2.54-2.75
6 Te 0.5388 0.2500 0.3391  3 Se 2.54-2.75
7 Se 0.1863 0.7500 0.3847  1 Te 2.75
8 Se 0.1963 0.2500 0.0858  1 Te 2.89
9 Se 0.3051 0.0184 0.7595  1 Te 2.54
10 Se 0.3051 0.4816 0.7595  1 Te 2.54
11 Se 0.6949 0.5184 0.2405  1 Te 2.54
12 Se 0.6949 0.9816 0.2405  1 Te 2.54
13 Se 0.8037 0.7500 0.9142  1 Te 2.89
14 Se 0.8137 0.2500 0.6153  1 Te 2.75

Computed properties:
Total magnetization (μB per formula unit): 0.000
E (eV/atom): -4.1281
Raw formation energy (meV/atom): -1139
Symmetry: P2_1/m (11)

***

A plane-wave DFT calculation with PBE-GGA was carried out for crystalline Co2RhAu at its relaxed geometry.

Cell: 4.6797 4.6797 4.6797 Å, 132.30 132.30 69.75°
With the nearest neighbours (Å) after each atom.
Sites, in units of the cell vectors:
1 Co 0.0000 0.0000 0.0000  4 Au 2.68, 4 Co 2.70, 4 Rh 2.70
2 Co 0.7500 0.2500 0.5000  4 Rh 2.68, 4 Co 2.70, 4 Au 2.70
3 Rh 0.2500 0.7500 0.5000  8 Co 2.68-2.70, 4 Au 2.70
4 Au 0.5000 0.5000 0.0000  8 Co 2.68-2.70, 4 Rh 2.70

Computed properties:
Total magnetization (μB per formula unit): 4.604
E (eV/atom): -6.0272
Calculated formation energy (meV per atom): 183
Symmetry: I-4m2 (119)

***

A plane-wave DFT calculation with PBE-GGA was carried out for crystalline MnVNi2Ag at its relaxed geometry.

Cell: 4.2708 4.2708 4.9079 Å, 90.00 90.00 90.00°
With the nearest neighbours (Å) after each atom.
Sites, in units of the cell vectors:
1 Mn 0.0000 0.0000 0.0000  4 Ag 3.02, 8 Ni 3.25
2 V 0.5000 0.5000 0.5000  4 Ni 2.14
3 Ni 0.0000 0.5000 0.5000  2 V 2.14
4 Ni 0.5000 0.0000 0.5000  2 V 2.14
5 Ag 0.5000 0.5000 0.0000  2 V 2.45

Computed properties:
Total magnetization (μB per formula unit): 2.841
E (eV/atom): -5.4068
Calculated formation energy (meV per atom): 1134
Symmetry: P4/mmm (123)

***

A plane-wave DFT calculation with PBE-GGA was carried out for crystalline CdBi3Br at its relaxed geometry.

Cell: 5.7454 5.7454 5.7454 Å, 90.00 90.00 90.00°
With the nearest neighbours (Å) after each atom.
Sites, in units of the cell vectors:
1 Cd 0.0000 0.0000 0.0000  12 Bi 4.06
2 Bi 0.0000 0.5000 0.5000  2 Br 2.87
3 Bi 0.5000 0.0000 0.5000  2 Br 2.87
4 Bi 0.5000 0.5000 0.0000  2 Br 2.87
5 Br 0.5000 0.5000 0.5000  6 Bi 2.87

Computed properties:
Total magnetization (μB per formula unit): 0.000
E (eV/atom): -2.0759
Raw formation energy (meV/atom): 770
Symmetry: Pm-3m (221)
E above lowest polymorph (meV/atom): 235

***

A plane-wave DFT calculation with PBE-GGA was carried out for crystalline SrPaRhS4 at its relaxed geometry.

Cell: 6.5645 5.8366 8.2669 Å, 90.00 105.52 90.00°
With the nearest neighbours (Å) after each atom.
Sites, in units of the cell vectors:
1 Sr 0.2441 0.2500 0.4456  8 S 2.88-3.21
2 Sr 0.7559 0.7500 0.5544  8 S 2.88-3.21
3 Pa 0.2505 0.2500 0.9442  6 S 2.68-2.92
4 Pa 0.7495 0.7500 0.0558  6 S 2.68-2.92
5 Rh 0.2642 0.7500 0.1462  4 S 2.26-2.43
6 Rh 0.7358 0.2500 0.8538  4 S 2.26-2.43
7 S 0.0440 0.7500 0.8847  1 Rh 2.26
8 S 0.0551 0.7500 0.3481  1 Rh 2.43, 1 Pa 2.70
9 S 0.4723 0.5133 0.7690  1 Rh 2.28
10 S 0.4723 0.9867 0.7690  1 Rh 2.28
11 S 0.5277 0.0133 0.2310  1 Rh 2.28
12 S 0.5277 0.4867 0.2310  1 Rh 2.28
13 S 0.9449 0.2500 0.6519  1 Rh 2.43, 1 Pa 2.70
14 S 0.9560 0.2500 0.1153  1 Rh 2.26

Computed properties:
Total magnetization (μB per formula unit): 0.000
E (eV/atom): -6.3477
Raw formation energy (meV/atom): -1342
Symmetry: P2_1/m (11)